Entry 1:
Li2TmMnS4 after structural relaxation, computed with PBE.

The structure in CIF format:
```
data_Li2TmMnS4
_chemical_formula_sum 'Li2 Tm1 Mn1 S4'
_cell_length_a 6.3457
_cell_length_b 3.7297
_cell_length_c 6.4500
_cell_angle_alpha 90.00
_cell_angle_beta 108.97
_cell_angle_gamma 90.00
_symmetry_space_group_name_H-M 'P 1 2/m 1'
_symmetry_Int_Tables_number 10
_symmetry_space_group_name_Hall '-P 2y'
loop_
_atom_site_label
_atom_site_type_symbol
_atom_site_fract_x
_atom_site_fract_y
_atom_site_fract_z
Li1 Li 0.0000 0.0000 0.0000
Li2 Li 0.5000 0.5000 0.0000
Tm1 Tm 0.0000 0.5000 0.5000
Mn1 Mn 0.5000 0.0000 0.5000
S1 S 0.2699 0.5000 0.2607
S2 S 0.2708 0.0000 0.7409
```

Output
**E_form (uncorrected)**: -1.3188 eV/atom

Entry 2:
Li4U3MnS8 after structural relaxation, computed with PBE.

The structure in CIF format:
```
data_Li4U3MnS8
_chemical_formula_sum 'Li12 U9 Mn3 S24'
_cell_length_a 7.6129
_cell_length_b 7.6129
_cell_length_c 18.7075
_cell_angle_alpha 90.00
_cell_angle_beta 90.00
_cell_angle_gamma 120.00
_symmetry_space_group_name_H-M 'R -3 m'
_symmetry_Int_Tables_number 166
_symmetry_space_group_name_Hall '-R 3 2"'
loop_
_atom_site_label
_atom_site_type_symbol
_atom_site_fract_x
_atom_site_fract_y
_atom_site_fract_z
Li1 Li 0.0000 0.0000 0.0000
Li2 Li 0.0000 0.5000 0.0000
U1 U 0.0000 0.5000 0.5000
Mn1 Mn 0.0000 0.0000 0.5000
S1 S 0.0000 0.0000 0.2541
S2 S 0.0112 0.5056 0.2499
```

Output
**E_form (uncorrected)**: -1.2584 eV/atom

The highest E_form (uncorrected) belongs to which entry?
Li4U3MnS8

The lowest E_form (uncorrected) belongs to which entry?
Li2TmMnS4